A plane-wave DFT calculation with PBE-GGA was carried out for a geometry-optimized ZrMnMo structure.

Calculated values
DOS(E_F) = 0.776 states/eV/atom
E above lowest polymorph = 1.55 eV per formula unit

Cell: 4.2450 4.2450 4.2450 Å, 60.00 60.00 60.00°
With the nearest neighbours (Å) after each atom.
Fractional positions:
1 Mn 0.7500 0.7500 0.7500  4 Zr 2.60, 4 Mo 2.60
2 Mo 0.0000 0.0000 0.0000  4 Mn 2.60
3 Zr 0.5000 0.5000 0.5000  4 Mn 2.60

A plane-wave DFT calculation with PBE-GGA was carried out for a geometry-optimized Zr4MnMo structure.

Calculated values
DOS(E_F) = 1.787 states/eV/atom
VASP energy = -0.306 Ha/atom

Cell: 5.6441 5.6441 5.6441 Å, 60.00 60.00 60.00°
With the nearest neighbours (Å) after each atom.
Fractional positions:
1 Zr 0.3742 0.8775 0.3742  6 Zr 2.80-2.84
2 Zr 0.8775 0.3742 0.3742  6 Zr 2.80-2.84
3 Zr 0.3742 0.3742 0.8775  6 Zr 2.80-2.84
4 Zr 0.3742 0.3742 0.3742  6 Zr 2.80-2.84
5 Mn 0.7500 0.7500 0.7500  12 Zr 3.31, 4 Mo 3.46
6 Mo 0.0000 0.0000 0.0000  12 Zr 3.31, 4 Mn 3.46

A plane-wave DFT calculation with PBE-GGA was carried out for a geometry-optimized ZrMn2Mo structure.

Calculated values
DOS(E_F) = 0.975 states/eV/atom
E above lowest polymorph = 1.58 eV per formula unit

Cell: 8.1118 8.1118 8.1118 Å, 21.19 21.19 21.19°
With the nearest neighbours (Å) after each atom.
Fractional positions:
1 Mn 0.9929 0.9929 0.9929  3 Mo 2.50, 3 Zr 2.76
2 Mn 0.5071 0.5071 0.5071  3 Mo 2.50, 3 Zr 2.76
3 Mo 0.2500 0.2500 0.2500  6 Mn 2.50
4 Zr 0.7500 0.7500 0.7500  6 Mn 2.76, 6 Zr 2.98

A plane-wave DFT calculation with PBE-GGA was carried out for a geometry-optimized ZrMn2Mo structure.

Calculated values
DOS(E_F) = 1.337 states/eV/atom
E above lowest polymorph = 1.09 eV per formula unit

Cell: 4.1099 3.9508 3.9508 Å, 90.00 90.00 90.00°
With the nearest neighbours (Å) after each atom.
Fractional positions:
1 Mn 0.0000 0.0000 0.0000  4 Mn 2.79, 4 Zr 2.85, 4 Mo 2.85
2 Mn 0.0000 0.5000 0.5000  4 Mn 2.79, 4 Zr 2.85, 4 Mo 2.85
3 Mo 0.5000 0.5000 0.0000  4 Zr 2.79, 8 Mn 2.85
4 Zr 0.5000 0.0000 0.5000  4 Mo 2.79, 8 Mn 2.85

A plane-wave DFT calculation with PBE-GGA was carried out for a geometry-optimized MnN structure.

Calculated values
DOS(E_F) = 0.913 states/eV/atom
Energy relative to the elements, uncorrected = -0.23 eV per formula unit

Cell: 5.8289 5.8289 5.8289 Å, 90.00 90.00 90.00°
With the nearest neighbours (Å) after each atom.
Fractional positions:
1 Mn 0.3540 0.3540 0.3540  4 N 1.82-1.88
2 Mn 0.3540 0.6460 0.6460  4 N 1.82-1.88
3 Mn 0.6460 0.3540 0.6460  4 N 1.82-1.88
4 Mn 0.6460 0.6460 0.3540  4 N 1.82-1.88
5 Mn 0.8540 0.8540 0.8540  4 N 1.82-1.88
6 Mn 0.8540 0.1460 0.1460  4 N 1.82-1.88
7 Mn 0.1460 0.8540 0.1460  4 N 1.82-1.88
8 Mn 0.1460 0.1460 0.8540  4 N 1.82-1.88
9 N 0.1739 0.1739 0.1739  4 Mn 1.82-1.88
10 N 0.1739 0.8261 0.8261  4 Mn 1.82-1.88
11 N 0.8261 0.1739 0.8261  4 Mn 1.82-1.88
12 N 0.8261 0.8261 0.1739  4 Mn 1.82-1.88
13 N 0.6739 0.6739 0.6739  4 Mn 1.82-1.88
14 N 0.6739 0.3261 0.3261  4 Mn 1.82-1.88
15 N 0.3261 0.6739 0.3261  4 Mn 1.82-1.88
16 N 0.3261 0.3261 0.6739  4 Mn 1.82-1.88

A plane-wave DFT calculation with PBE-GGA was carried out for a geometry-optimized MnN structure.

Calculated values
DOS(E_F) = 0.712 states/eV/atom
Energy relative to the elements, uncorrected = -0.29 eV per formula unit

Cell: 3.1884 3.8692 3.3764 Å, 90.00 118.10 90.00°
With the nearest neighbours (Å) after each atom.
Fractional positions:
1 Mn 0.2971 0.7500 0.0943  5 N 1.87-1.99
2 Mn 0.7029 0.2500 0.9057  5 N 1.87-1.99
3 N 0.6317 0.7500 0.7628  5 Mn 1.87-1.99
4 N 0.3683 0.2500 0.2372  5 Mn 1.87-1.99

A plane-wave DFT calculation with PBE-GGA was carried out for a geometry-optimized MnN structure.

Calculated values
DOS(E_F) = 0.555 states/eV/atom
Energy relative to the elements, uncorrected = -0.40 eV per formula unit

Cell: 2.9314 2.9314 2.9314 Å, 60.00 60.00 60.00°
With the nearest neighbours (Å) after each atom.
Fractional positions:
1 Mn 0.0000 0.0000 0.0000  6 N 2.07
2 N 0.5000 0.5000 0.5000  6 Mn 2.07

A plane-wave DFT calculation with PBE-GGA was carried out for a geometry-optimized MnN structure.

Calculated values
DOS(E_F) = 0.610 states/eV/atom
Energy relative to the elements, uncorrected = -0.14 eV per formula unit

Cell: 8.2632 3.0834 4.9577 Å, 90.00 90.00 90.00°
With the nearest neighbours (Å) after each atom.
Fractional positions:
1 Mn 0.7833 0.1007 0.3435  4 N 1.80-1.96
2 Mn 0.7167 0.8993 0.8435  4 N 1.80-1.96
3 Mn 0.2167 0.1007 0.3435  4 N 1.80-1.96
4 Mn 0.2833 0.8993 0.8435  4 N 1.80-1.96
5 Mn 0.0000 0.5499 0.5900  4 N 1.85-2.00
6 Mn 0.5000 0.4501 0.0900  4 N 1.85-2.00
7 N 0.7918 0.4029 0.6913  4 Mn 1.82-1.96
8 N 0.7082 0.5971 0.1913  4 Mn 1.82-1.96
9 N 0.2082 0.4029 0.6913  4 Mn 1.82-1.96
10 N 0.2918 0.5971 0.1913  4 Mn 1.82-1.96
11 N 0.0000 0.0385 0.3423  4 Mn 1.80-2.00
12 N 0.5000 0.9615 0.8423  4 Mn 1.80-2.00

A plane-wave DFT calculation with PBE-GGA was carried out for a geometry-optimized MnN structure.

Calculated values
DOS(E_F) = 0.591 states/eV/atom
Energy relative to the elements, uncorrected = -0.41 eV per formula unit

Cell: 7.2232 7.2232 3.0545 Å, 90.00 90.00 120.00°
With the nearest neighbours (Å) after each atom.
Fractional positions:
1 Mn 0.8982 0.3431 0.2500  4 N 1.86-1.94
2 Mn 0.5551 0.8982 0.7500  4 N 1.86-1.94
3 Mn 0.6569 0.5551 0.2500  4 N 1.86-1.94
4 Mn 0.1018 0.6569 0.7500  4 N 1.86-1.94
5 Mn 0.4449 0.1018 0.2500  4 N 1.86-1.94
6 Mn 0.3431 0.4449 0.7500  4 N 1.86-1.94
7 N 0.6879 0.0564 0.2500  4 Mn 1.86-1.94
8 N 0.6316 0.6879 0.7500  4 Mn 1.86-1.94
9 N 0.9436 0.6316 0.2500  4 Mn 1.86-1.94
10 N 0.3121 0.9436 0.7500  4 Mn 1.86-1.94
11 N 0.3684 0.3121 0.2500  4 Mn 1.86-1.94
12 N 0.0564 0.3684 0.7500  4 Mn 1.86-1.94

A plane-wave DFT calculation with PBE-GGA was carried out for a geometry-optimized MnN structure.

Calculated values
DOS(E_F) = 0.616 states/eV/atom
Energy relative to the elements, uncorrected = -0.05 eV per formula unit

Cell: 3.7689 3.7689 3.7689 Å, 90.00 90.00 90.00°
With the nearest neighbours (Å) after each atom.
Fractional positions:
1 Mn 0.5000 0.5000 0.0000  4 N 1.88
2 Mn 0.5000 0.0000 0.5000  4 N 1.88
3 Mn 0.0000 0.5000 0.5000  4 N 1.88
4 N 0.0000 0.0000 0.5000  4 Mn 1.88
5 N 0.0000 0.5000 0.0000  4 Mn 1.88
6 N 0.5000 0.0000 0.0000  4 Mn 1.88

A plane-wave DFT calculation with PBE-GGA was carried out for a geometry-optimized MnN structure.

Calculated values
DOS(E_F) = 0.690 states/eV/atom
Energy relative to the elements, uncorrected = -0.29 eV per formula unit

Cell: 5.1890 5.3952 6.3799 Å, 90.00 90.00 90.00°
With the nearest neighbours (Å) after each atom.
Fractional positions:
1 Mn 0.6993 0.6379 0.5217  4 N 1.87-2.01
2 Mn 0.1993 0.8621 0.4783  4 N 1.87-2.01
3 Mn 0.3007 0.1379 0.9783  4 N 1.87-2.01
4 Mn 0.8007 0.3621 0.0217  4 N 1.87-2.01
5 Mn 0.3725 0.4409 0.2712  4 N 1.81-1.88
6 Mn 0.8725 0.0591 0.7288  4 N 1.81-1.88
7 Mn 0.6275 0.9409 0.2288  4 N 1.81-1.88
8 Mn 0.1275 0.5591 0.7712  4 N 1.81-1.88
9 N 0.3405 0.5424 0.5436  4 Mn 1.83-1.94
10 N 0.8405 0.9576 0.4564  4 Mn 1.83-1.94
11 N 0.6595 0.0424 0.9564  4 Mn 1.83-1.94
12 N 0.1595 0.4576 0.0436  4 Mn 1.83-1.94
13 N 0.3290 0.0967 0.2909  4 Mn 1.81-2.01
14 N 0.8290 0.4033 0.7091  4 Mn 1.81-2.01
15 N 0.6710 0.5967 0.2091  4 Mn 1.81-2.01
16 N 0.1710 0.9033 0.7909  4 Mn 1.81-2.01

A plane-wave DFT calculation with PBE-GGA was carried out for a geometry-optimized MnN structure.

Calculated values
DOS(E_F) = 0.647 states/eV/atom
Energy relative to the elements, uncorrected = 0.86 eV per formula unit

Cell: 2.5261 2.5261 2.5261 Å, 90.00 90.00 90.00°
With the nearest neighbours (Å) after each atom.
Fractional positions:
1 Mn 0.0000 0.0000 0.0000  8 N 2.19
2 N 0.5000 0.5000 0.5000  8 Mn 2.19

Question: Which of these has the highest DOS(E_F)?
Answer: Zr4MnMo

Question: What is the DOS(E_F) in the eleventh record?
Answer: 0.690 states/eV/atom